# VCrClO2 | Alexandria via LeMat-Bulk | GGA+U | optimized geometry
data_VCrClO2
_chemical_formula_sum 'V1 Cr1 Cl1 O2'
_cell_length_a 4.438
_cell_length_b 4.438
_cell_length_c 4.308
_cell_angle_alpha 90.00
_cell_angle_beta 90.00
_cell_angle_gamma 90.00
_space_group_name_H-M_alt 'P 4/m m m'
_space_group_IT_number 123
_space_group_name_Hall '-P 4 2'
loop_
_atom_site_label
_atom_site_type_symbol
_atom_site_fract_x
_atom_site_fract_y
_atom_site_fract_z
V1 V 0.000 0.000 0.000
Cr1 Cr 0.500 0.500 0.000
Cl1 Cl 0.500 0.500 0.500
O1 O 0.000 0.500 0.500
# crystal system	tetragonal
# D(E_F)	0.454	states/eV/atom
# volume	16.97	A^3/atom
# uncorrected energy	-4.429	eV/atom